Record 1
Below is a relaxed structure of ScTaRh2, with properties calculated at the GGA-PBE level.

Results
Total DFT energy (no corrections)   -8.890 eV/atom
Calculated density   10.88 g/cm3
D(E_F)   0.90 states/eV per atom
Symmetry   Cmmm
E_form   -0.67 eV per atom

Cell: 4.7017 4.7017 2.9929 Å, 90.00 90.00 95.41°
Last column: nearest neighbours and their distance in Å.
Element x y z (fractional)
Sc: 0.0000 0.0000 0.0000  8 Rh 2.79, 2 Sc 2.99
Ta: 0.5000 0.5000 0.0000  8 Rh 2.79, 2 Ta 2.99
Rh: 0.0000 0.5000 0.5000  4 Ta 2.79, 4 Sc 2.79, 2 Rh 2.99
Rh: 0.5000 0.0000 0.5000  4 Ta 2.79, 4 Sc 2.79, 2 Rh 2.99

---

Record 2
Below is a relaxed structure of Sc2TaRh3, with properties calculated at the GGA-PBE level.

Results
Total DFT energy (no corrections)   -8.546 eV/atom
Calculated density   9.61 g/cm3
D(E_F)   0.85 states/eV per atom
Symmetry   Cmmm
E_form   -0.78 eV per atom

Cell: 7.3780 7.3780 3.0842 Å, 90.00 90.00 143.38°
Last column: nearest neighbours and their distance in Å.
Element x y z (fractional)
Sc: 0.1679 0.8321 0.0000  8 Rh 2.79-2.86, 2 Sc 3.08
Sc: 0.8321 0.1679 0.0000  8 Rh 2.79-2.86, 2 Sc 3.08
Ta: 0.5000 0.5000 0.0000  8 Rh 2.72-2.78
Rh: 0.0000 0.0000 0.5000  4 Ta 2.78, 4 Sc 2.81, 2 Rh 3.08
Rh: 0.3396 0.6604 0.5000  2 Ta 2.72, 6 Sc 2.79-2.86
Rh: 0.6604 0.3396 0.5000  2 Ta 2.72, 6 Sc 2.79-2.86

---

Record 3
Below is a relaxed structure of ScTaRh2, with properties calculated at the GGA-PBE level.

Results
Total DFT energy (no corrections)   -8.353 eV/atom
Calculated density   10.44 g/cm3
D(E_F)   1.19 states/eV per atom
Symmetry   R3m
E_form   -0.13 eV per atom

Cell: 9.1385 9.1385 9.1385 Å, 18.72 18.72 18.72°
Last column: nearest neighbours and their distance in Å.
Element x y z (fractional)
Sc: 0.0000 0.0000 0.0000  3 Rh 2.64
Ta: 0.7629 0.7629 0.7629  3 Rh 2.66, 6 Ta 2.97
Rh: 0.2590 0.2590 0.2590  3 Sc 2.64, 3 Rh 2.91
Rh: 0.5050 0.5050 0.5050  3 Ta 2.66, 9 Rh 2.91-2.97

---

Record 4
Below is a relaxed structure of ScTaRh2, with properties calculated at the GGA-PBE level.

Results
Total DFT energy (no corrections)   -8.653 eV/atom
Calculated density   10.23 g/cm3
D(E_F)   0.75 states/eV per atom
Symmetry   P4mm
E_form   -0.43 eV per atom

Cell: 3.5499 3.5499 5.5624 Å, 90.00 90.00 90.00°
Last column: nearest neighbours and their distance in Å.
Element x y z (fractional)
Sc: 0.0000 0.0000 0.0000  6 Rh 2.62-2.82
Ta: 0.5000 0.5000 0.3536  6 Rh 2.65-2.83
Rh: 0.0000 0.0000 0.5061  4 Ta 2.65, 2 Sc 2.75-2.82
Rh: 0.5000 0.5000 0.8624  4 Sc 2.62, 2 Ta 2.73-2.83

---

Record 5
Below is a relaxed structure of Sc4TaRh5, with properties calculated at the GGA-PBE level.

Results
Total DFT energy (no corrections)   -8.272 eV/atom
Calculated density   8.69 g/cm3
D(E_F)   0.52 states/eV per atom
Symmetry   P4/mmm
E_form   -0.88 eV per atom

Cell: 3.1765 3.1765 16.5681 Å, 90.00 90.00 90.00°
Last column: nearest neighbours and their distance in Å.
Element x y z (fractional)
Sc: 0.0000 0.0000 0.0999  8 Rh 2.79-2.80
Sc: 0.0000 0.0000 0.2996  8 Rh 2.78-2.83
Sc: 0.0000 0.0000 0.7004  8 Rh 2.78-2.83
Sc: 0.0000 0.0000 0.9001  8 Rh 2.79-2.80
Ta: 0.0000 0.0000 0.5000  8 Rh 2.75
Rh: 0.5000 0.5000 0.0000  8 Sc 2.79
Rh: 0.5000 0.5000 0.2006  8 Sc 2.78-2.80
Rh: 0.5000 0.5000 0.4038  4 Ta 2.75, 4 Sc 2.83
Rh: 0.5000 0.5000 0.5962  4 Ta 2.75, 4 Sc 2.83
Rh: 0.5000 0.5000 0.7994  8 Sc 2.78-2.80

---

Record 6
Below is a relaxed structure of ScTaRh2, with properties calculated at the GGA-PBE level.

Results
Total DFT energy (no corrections)   -8.902 eV/atom
Calculated density   10.91 g/cm3
D(E_F)   0.92 states/eV per atom
Symmetry   P4/mmm
E_form   -0.68 eV per atom

Cell: 3.0463 3.0463 7.0831 Å, 90.00 90.00 90.00°
Last column: nearest neighbours and their distance in Å.
Element x y z (fractional)
Sc: 0.0000 0.0000 0.0000  8 Rh 2.80, 4 Sc 3.05
Ta: 0.0000 0.0000 0.5000  8 Rh 2.77, 4 Ta 3.05
Rh: 0.5000 0.5000 0.2531  4 Ta 2.77, 4 Sc 2.80, 4 Rh 3.05
Rh: 0.5000 0.5000 0.7469  4 Ta 2.77, 4 Sc 2.80, 4 Rh 3.05

---

Record 7
Below is a relaxed structure of ScTaRh4, with properties calculated at the GGA-PBE level.

Results
Relative energy among the computed polymorphs   83.4 meV per atom
Total DFT energy (no corrections)   -8.321 eV/atom
Calculated density   10.94 g/cm3
D(E_F)   1.09 states/eV per atom
Symmetry   F-43m
E_form   -0.39 eV per atom

Cell: 5.1531 5.1531 5.1531 Å, 60.00 60.00 60.00°
Last column: nearest neighbours and their distance in Å.
Element x y z (fractional)
Sc: 0.0000 0.0000 0.0000  12 Rh 3.02, 4 Ta 3.16
Ta: 0.7500 0.7500 0.7500  12 Rh 3.02, 4 Sc 3.16
Rh: 0.3747 0.3747 0.3747  6 Rh 2.57-2.58
Rh: 0.3747 0.3747 0.8760  6 Rh 2.57-2.58
Rh: 0.3747 0.8760 0.3747  6 Rh 2.57-2.58
Rh: 0.8760 0.3747 0.3747  6 Rh 2.57-2.58

---

Record 8
Below is a relaxed structure of ScTaRh2, with properties calculated at the GGA-PBE level.

Results
Total DFT energy (no corrections)   -8.456 eV/atom
Calculated density   9.90 g/cm3
D(E_F)   0.28 states/eV per atom
Symmetry   I-42d
E_form   -0.23 eV per atom

Cell: 5.7770 5.7770 5.7770 Å, 104.59 104.59 119.75°
Last column: nearest neighbours and their distance in Å.
Element x y z (fractional)
Sc: 0.0000 0.0000 0.0000  4 Rh 2.70, 2 Ta 2.90
Sc: 0.7500 0.2500 0.5000  4 Rh 2.70, 2 Ta 2.90
Ta: 0.2500 0.7500 0.5000  4 Rh 2.50
Ta: 0.5000 0.5000 0.0000  4 Rh 2.50
Rh: 0.1461 0.1250 0.5211  2 Ta 2.50, 2 Sc 2.70
Rh: 0.3750 0.8539 0.9789  2 Ta 2.50, 2 Sc 2.70
Rh: 0.6039 0.6250 0.4789  2 Ta 2.50, 2 Sc 2.70
Rh: 0.8750 0.3961 0.0211  2 Ta 2.50, 2 Sc 2.70

---

Record 9
Below is a relaxed structure of ScTaRh, with properties calculated at the GGA-PBE level.

Results
Relative energy among the computed polymorphs   182.8 meV per atom
Total DFT energy (no corrections)   -8.766 eV/atom
Calculated density   10.34 g/cm3
D(E_F)   0.94 states/eV per atom
Symmetry   P3m1
E_form   -0.25 eV per atom

Cell: 4.5443 4.5443 2.9519 Å, 90.00 90.00 120.00°
Last column: nearest neighbours and their distance in Å.
Element x y z (fractional)
Sc: 0.0000 0.0000 0.0000  3 Rh 2.81, 6 Ta 2.90-3.14, 2 Sc 2.95
Ta: 0.3333 0.6667 0.4176  3 Rh 2.72, 3 Sc 2.90, 2 Ta 2.95
Rh: 0.6667 0.3333 0.6559  3 Ta 2.72, 3 Sc 2.81, 2 Rh 2.95

---

Record 10
Below is a relaxed structure of ScTaRh4, with properties calculated at the GGA-PBE level.

Results
Relative energy among the computed polymorphs   0.0 meV per atom
Total DFT energy (no corrections)   -8.404 eV/atom
Calculated density   10.98 g/cm3
D(E_F)   0.94 states/eV per atom
Symmetry   C2/m
E_form   -0.47 eV per atom

Cell: 5.3726 5.3726 6.3152 Å, 107.36 107.36 33.81°
Last column: nearest neighbours and their distance in Å.
Element x y z (fractional)
Sc: 0.0000 0.0000 0.0000  8 Rh 2.72-2.75
Ta: 0.0000 0.0000 0.5000  8 Rh 2.62-2.65
Rh: 0.3430 0.3430 0.1826  2 Ta 2.65, 2 Sc 2.75, 4 Rh 2.92-2.94
Rh: 0.3485 0.3485 0.6608  2 Ta 2.62, 2 Sc 2.72, 4 Rh 2.85-2.92
Rh: 0.6515 0.6515 0.3392  2 Ta 2.62, 2 Sc 2.72, 4 Rh 2.85-2.92
Rh: 0.6570 0.6570 0.8174  2 Ta 2.65, 2 Sc 2.75, 4 Rh 2.92-2.94

---

Record 11
Below is a relaxed structure of ScTaRh2, with properties calculated at the GGA-PBE level.

Results
Total DFT energy (no corrections)   -8.889 eV/atom
Calculated density   10.87 g/cm3
D(E_F)   1.03 states/eV per atom
Symmetry   Pm
E_form   -0.67 eV per atom

Cell: 2.9672 4.6580 4.7700 Å, 90.00 90.08 90.00°
Last column: nearest neighbours and their distance in Å.
Element x y z (fractional)
Sc: 0.0000 0.0000 0.0000  8 Rh 2.72-2.90, 2 Sc 2.97
Ta: 0.9986 0.5000 0.4586  8 Rh 2.78-2.83, 2 Ta 2.97
Rh: 0.4984 0.0000 0.5223  4 Sc 2.72-2.90, 4 Ta 2.78, 2 Rh 2.97
Rh: 0.5005 0.5000 0.9548  4 Sc 2.77, 4 Ta 2.79-2.83, 2 Rh 2.97

---

Record 12
Below is a relaxed structure of ScTa2Rh2, with properties calculated at the GGA-PBE level.

Results
Relative energy among the computed polymorphs   371.5 meV per atom
Total DFT energy (no corrections)   -8.941 eV/atom
Calculated density   10.45 g/cm3
D(E_F)   1.36 states/eV per atom
Symmetry   I4/mmm
E_form   0.01 eV per atom

Cell: 6.6662 6.6662 6.6662 Å, 144.91 144.91 50.47°
Last column: nearest neighbours and their distance in Å.
Element x y z (fractional)
Sc: 0.0000 0.0000 0.0000  8 Ta 3.17
Ta: 0.3835 0.3835 0.0000  4 Rh 2.57, 1 Ta 2.81
Ta: 0.6165 0.6165 0.0000  4 Rh 2.57, 1 Ta 2.81
Rh: 0.2500 0.7500 0.5000  4 Ta 2.57, 4 Rh 2.84
Rh: 0.7500 0.2500 0.5000  4 Ta 2.57, 4 Rh 2.84